1.
Material: HfBe8V3
Method: DFT, GGA-PBE
State: relaxed

a = 4.472 Å, b = 4.472 Å, c = 7.290 Å
α = 90.00°, β = 90.00°, γ = 120.00°
Sites, in units of the cell vectors:
Hf  0.000  0.000  0.000
Be  0.164  0.327  0.675
Be  0.164  0.836  0.675
Be  0.333  0.667  0.436
Be  0.333  0.667  0.931
Be  0.504  0.008  0.198
Be  0.504  0.496  0.198
Be  0.673  0.836  0.675
Be  0.992  0.496  0.198
V  0.000  0.000  0.377
V  0.667  0.333  0.501
V  0.667  0.333  0.857

Computed properties:
ρ: 5.305 g cm⁻³
density of states at the Fermi level: 6.699 states/eV/cell
total DFT energy (no corrections): -5.762 eV/atom
energy of formation: -2.030 eV/f.u.
magnetic moment: 3.15 μB per cell

=====

2.
Material: ScCd2Hg2
Method: DFT, GGA-PBE
State: relaxed

a = 7.312 Å, b = 7.312 Å, c = 3.276 Å
α = 102.84°, β = 102.84°, γ = 41.97°
Sites, in units of the cell vectors:
Sc  0.000  0.000  0.000
Cd  0.396  0.396  0.395
Cd  0.604  0.604  0.605
Hg  0.197  0.197  0.696
Hg  0.803  0.803  0.304

Computed properties:
ρ: 9.793 g cm⁻³
energy relative to the lowest polymorph listed for this composition: 0.51 kcal/mol of atoms
density of states at the Fermi level: 2.590 states/eV/cell
total DFT energy (no corrections): -1.882 eV/atom
energy of formation: -0.645 eV/f.u.
magnetic moment: 0.00 μB per cell

=====

3.
Material: HfPb2S5
Method: DFT, GGA-PBE
State: relaxed

a = 4.806 Å, b = 7.235 Å, c = 7.268 Å
α = 64.09°, β = 77.14°, γ = 75.46°
Sites, in units of the cell vectors:
Hf  0.000  0.000  0.000
Pb  0.082  0.260  0.404
Pb  0.613  0.573  0.796
S  0.193  0.313  0.748
S  0.349  0.697  0.200
S  0.658  0.213  0.169
S  0.729  0.696  0.293
S  0.939  0.889  0.745

Computed properties:
ρ: 5.732 g cm⁻³
total DFT energy (no corrections): -5.445 eV/atom
formation energy (no corrections): -0.694 eV per atom
magnetic moment: 0.00 μB per cell

=====

4.
Material: Be3InTe
Method: DFT, GGA-PBE
State: relaxed

a = 4.661 Å, b = 4.661 Å, c = 4.661 Å
α = 90.00°, β = 90.00°, γ = 90.00°
Sites, in units of the cell vectors:
Be  0.000  0.000  0.500
Be  0.000  0.500  0.000
Be  0.500  0.000  0.000
In  0.000  0.000  0.000
Te  0.500  0.500  0.500

Computed properties:
ρ: 4.418 g cm⁻³
energy relative to the lowest polymorph listed for this composition: 0.00 kcal/mol of atoms
density of states at the Fermi level: 3.730 states/eV/cell
total DFT energy (no corrections): -2.352 eV/atom
formation energy (no corrections): 1.060 eV per atom
magnetic moment: 0.00 μB per cell

=====

5.
Material: InNi2P
Method: DFT, GGA-PBE
State: relaxed

a = 4.927 Å, b = 4.927 Å, c = 4.927 Å
α = 136.46°, β = 136.46°, γ = 63.27°
Sites, in units of the cell vectors:
In  0.000  0.000  0.000
Ni  0.250  0.750  0.500
Ni  0.500  0.500  0.000
P  0.750  0.250  0.500

Computed properties:
ρ: 7.798 g cm⁻³
density of states at the Fermi level: 3.423 states/eV/cell
total DFT energy (no corrections): -4.855 eV/atom
energy of formation: 0.293 eV/f.u.
magnetic moment: 0.00 μB per cell

=====

6.
Material: PrTeH2
Method: DFT, GGA-PBE
State: relaxed

a = 5.794 Å, b = 5.794 Å, c = 5.794 Å
α = 39.34°, β = 39.34°, γ = 39.34°
Sites, in units of the cell vectors:
Pr  0.000  0.000  0.000
Te  0.500  0.500  0.500
H  0.305  0.305  0.305
H  0.695  0.695  0.695

Computed properties:
ρ: 6.386 g cm⁻³
energy relative to the lowest polymorph listed for this composition: 2.43 kcal/mol of atoms
density of states at the Fermi level: 2.404 states/eV/cell
total DFT energy (no corrections): -4.197 eV/atom
magnetic moment: 0.00 μB per cell

=====

7.
Material: Cu3TcRh12
Method: DFT, GGA-PBE
State: relaxed

a = 3.823 Å, b = 3.823 Å, c = 15.260 Å
α = 90.00°, β = 90.00°, γ = 90.00°
Sites, in units of the cell vectors:
Cu  0.000  0.000  0.000
Cu  0.000  0.000  0.248
Cu  0.000  0.000  0.752
Tc  0.000  0.000  0.500
Rh  0.000  0.500  0.124
Rh  0.000  0.500  0.376
Rh  0.000  0.500  0.624
Rh  0.000  0.500  0.876
Rh  0.500  0.000  0.124
Rh  0.500  0.000  0.376
Rh  0.500  0.000  0.624
Rh  0.500  0.000  0.876
Rh  0.500  0.500  0.000
Rh  0.500  0.500  0.249
Rh  0.500  0.500  0.500
Rh  0.500  0.500  0.751

Computed properties:
ρ: 11.343 g cm⁻³
density of states at the Fermi level: 25.811 states/eV/cell
total DFT energy (no corrections): -6.895 eV/atom
energy of formation: 0.554 eV/f.u.
magnetic moment: 0.00 μB per cell

=====

8.
Material: Ca3Tb3DyTe8
Method: DFT, GGA-PBE
State: relaxed

a = 8.921 Å, b = 8.921 Å, c = 8.921 Å
α = 58.91°, β = 58.91°, γ = 58.91°
Sites, in units of the cell vectors:
Ca  0.000  0.500  0.500
Ca  0.500  0.000  0.500
Ca  0.500  0.500  0.000
Tb  0.000  0.000  0.500
Tb  0.000  0.500  0.000
Tb  0.500  0.000  0.000
Dy  0.500  0.500  0.500
Te  0.246  0.750  0.750
Te  0.249  0.249  0.249
Te  0.250  0.250  0.754
Te  0.250  0.754  0.250
Te  0.750  0.246  0.750
Te  0.750  0.750  0.246
Te  0.751  0.751  0.751
Te  0.754  0.250  0.250

Computed properties:
ρ: 6.039 g cm⁻³
density of states at the Fermi level: 4.681 states/eV/cell
total DFT energy (no corrections): -4.801 eV/atom
formation energy (no corrections): -1.492 eV per atom
magnetic moment: 0.00 μB per cell